Record 1
Below is an optimized crystal structure of AcHF6, with properties calculated at the PBE level.

Total magnetic moment   2.0 μB per formula unit
Energy above the most stable polymorph in this dataset   36.6 kJ per mole of atoms
E_tot   -4.34 eV per atom

Lattice parameters (Å, degrees): 4.7039 4.7039 14.5524 90.00 90.00 120.00
Space group R-3m (No. 166, hexagonal axes)
Asymmetric unit:
Ac: 0.0000 0.0000 0.0000 [3 per cell]
H: 0.0000 0.0000 0.5000 [3 per cell]
F: 0.0063 0.5031 0.0901 [18 per cell]

Record 2
Below is an optimized crystal structure of La3Pr8Dy, with properties calculated at the PBE level.

Energy of formation from the pure elements   259 meV per atom
Total magnetic moment   0.0 μB per formula unit
E_tot   -4.54 eV per atom

Lattice parameters (Å, degrees): 6.7421 11.6146 11.8232 90.00 90.00 90.00
Space group Immm (No. 71)
Asymmetric unit:
La: 0.0000 0.0000 0.0000 [2 per cell]
La: 0.0000 0.5000 0.2443 [4 per cell]
Pr: 0.0000 0.1654 0.2520 [8 per cell]
Pr: 0.2405 0.2604 0.0000 [8 per cell]
Dy: 0.0000 0.0000 0.5000 [2 per cell]

Record 3
Below is an optimized crystal structure of Sr2CdIn3, with properties calculated at the PBE level.

Energy of formation from the pure elements   -414 meV per atom
Total magnetic moment   0.0 μB per formula unit
Energy above the most stable polymorph in this dataset   2.6 kJ per mole of atoms
E_tot   -2.50 eV per atom

Lattice parameters (Å, degrees): 8.1018 10.1909 17.6472 90.00 90.00 90.00
Space group Fmmm (No. 69)
Asymmetric unit:
Sr: 0.2464 0.0000 0.0000 [8 per cell]
Sr: 0.2500 0.2500 0.2500 [8 per cell]
Cd: 0.0000 0.0000 0.1673 [8 per cell]
In: 0.0000 0.0000 0.3328 [8 per cell]
In: 0.0000 0.2499 0.0839 [16 per cell]